*i*
A relaxed ScPaB crystal. Source: OQMD via LeMat-Bulk, functional GGA-PBE.

## Properties
space-group type: F-43m, No. 216

Cell: 4.3938 4.3938 4.3938 Å, 60.00 60.00 60.00°
Fractional positions:
1 B 0.2500 0.2500 0.2500
2 Pa 0.0000 0.0000 0.0000
3 Sc 0.7500 0.7500 0.7500

=====

*ii*
A relaxed ScPaB crystal. Source: OQMD via LeMat-Bulk, functional GGA-PBE.

## Properties
space-group type: F-43m, No. 216

Cell: 4.3014 4.3014 4.3014 Å, 60.00 60.00 60.00°
Fractional positions:
1 B 0.0000 0.0000 0.0000
2 Pa 0.2500 0.2500 0.2500
3 Sc 0.7500 0.7500 0.7500

=====

Which structure is the most stable? The one labeled *ii*.

=====

*i*
A relaxed PaTaB crystal. Source: OQMD via LeMat-Bulk, functional GGA-PBE.

## Properties
space-group type: F-43m, No. 216

Cell: 4.4028 4.4028 4.4028 Å, 60.00 60.00 60.00°
Fractional positions:
1 B 0.5000 0.5000 0.5000
2 Pa 0.2500 0.2500 0.2500
3 Ta 0.0000 0.0000 0.0000

=====

*ii*
A relaxed PaTaB crystal. Source: OQMD via LeMat-Bulk, functional GGA-PBE.

## Properties
space-group type: F-43m, No. 216

Cell: 4.2326 4.2326 4.2326 Å, 60.00 60.00 60.00°
Each line ends with the local moment (μB).
Fractional positions:
1 B 0.0000 0.0000 0.0000  0.00
2 Pa 0.2500 0.2500 0.2500  0.12
3 Ta 0.7500 0.7500 0.7500  0.12

=====

Which structure is the most stable? The one labeled *ii*.

=====

*i*
A relaxed ZrPaB crystal. Source: OQMD via LeMat-Bulk, functional GGA-PBE.

## Properties
space-group type: F-43m, No. 216

Cell: 4.3181 4.3181 4.3181 Å, 60.00 60.00 60.00°
Each line ends with the local moment (μB).
Fractional positions:
1 B 0.0000 0.0000 0.0000  0.00
2 Pa 0.2500 0.2500 0.2500  0.15
3 Zr 0.7500 0.7500 0.7500  0.04

=====

*ii*
A relaxed ZrPaB crystal. Source: OQMD via LeMat-Bulk, functional GGA-PBE.

## Properties
space-group type: F-43m, No. 216

Cell: 4.4208 4.4208 4.4208 Å, 60.00 60.00 60.00°
Fractional positions:
1 B 0.7500 0.7500 0.7500
2 Pa 0.5000 0.5000 0.5000
3 Zr 0.2500 0.2500 0.2500

=====

Which structure is the most stable? The one labeled *i*.

=====

*i*
A relaxed PrBPb crystal. Source: OQMD via LeMat-Bulk, functional GGA-PBE.

## Properties
space-group type: F-43m, No. 216

Cell: 4.9226 4.9226 4.9226 Å, 60.00 60.00 60.00°
Fractional positions:
1 B 0.2500 0.2500 0.2500
2 Pb 0.7500 0.7500 0.7500
3 Pr 0.0000 0.0000 0.0000

=====

*ii*
A relaxed PrBPb crystal. Source: OQMD via LeMat-Bulk, functional GGA-PBE.

## Properties
space-group type: F-43m, No. 216

Cell: 5.1046 5.1046 5.1046 Å, 60.00 60.00 60.00°
Fractional positions:
1 B 0.0000 0.0000 0.0000
2 Pb 0.2500 0.2500 0.2500
3 Pr 0.7500 0.7500 0.7500

=====

Which structure is the most stable? The one labeled *ii*.

=====

*i*
A relaxed B4PtPb crystal. Source: OQMD via LeMat-Bulk, functional GGA-PBE.

## Properties
space-group type: Immm, No. 71

Cell: 5.5062 5.5062 5.5062 Å, 150.44 118.73 69.48°
Fractional positions:
1 B 0.5821 0.2325 0.3496
2 B 0.1171 0.7675 0.3496
3 B 0.8829 0.2325 0.6504
4 B 0.4179 0.7675 0.6504
5 Pb 0.0000 0.0000 0.0000
6 Pt 0.5000 0.5000 0.0000

=====

*ii*
A relaxed B4PtPb crystal. Source: OQMD via LeMat-Bulk, functional GGA-PBE.

## Properties
space-group type: P6/mmm, No. 191

Cell: 3.0990 3.0990 8.6839 Å, 90.00 90.00 120.00°
Fractional positions:
1 B 0.6667 0.3333 0.3028
2 B 0.3333 0.6667 0.3028
3 B 0.6667 0.3333 0.6972
4 B 0.3333 0.6667 0.6972
5 Pb 0.0000 0.0000 0.0000
6 Pt 0.0000 0.0000 0.5000

=====

Which structure is the most stable? The one labeled *ii*.

=====

*i*
A relaxed ReB4Pb crystal. Source: OQMD via LeMat-Bulk, functional GGA-PBE.

## Properties
space-group type: P6/mmm, No. 191

Cell: 3.0109 3.0109 8.8313 Å, 90.00 90.00 120.00°
Fractional positions:
1 B 0.6667 0.3333 0.1894
2 B 0.3333 0.6667 0.1894
3 B 0.6667 0.3333 0.8106
4 B 0.3333 0.6667 0.8106
5 Pb 0.0000 0.0000 0.5000
6 Re 0.0000 0.0000 0.0000

=====

*ii*
A relaxed ReB4Pb crystal. Source: OQMD via LeMat-Bulk, functional GGA-PBE.

## Properties
space-group type: Immm, No. 71

Cell: 4.8975 4.8975 4.8975 Å, 143.39 110.90 80.82°
Fractional positions:
1 B 0.6003 0.2599 0.3404
2 B 0.0804 0.7401 0.3404
3 B 0.9196 0.2599 0.6596
4 B 0.3997 0.7401 0.6596
5 Pb 0.5000 0.5000 0.0000
6 Re 0.0000 0.0000 0.0000

=====

Which structure is the most stable? The one labeled *i*.